This record from Alexandria via LeMat-Bulk describes crystalline TaSb2TeAu at its relaxed geometry. The functional is PBE-GGA.

Computed properties:
As for the total magnetization: 0.00 Bohr magnetons per cell. Its formation energy without anion corrections is 0.54 eV per atom.

a = 5.3703 Å, b = 5.3703 Å, c = 5.2731 Å
α = 90.00°, β = 90.00°, γ = 90.00°
Last column: nearest neighbours and their distance in Å.
Space group P4/mmm (No. 123)
Inequivalent atoms, fractional coordinates:
Ta (0.0000, 0.0000, 0.0000) [1 per cell]  2 Te 2.64, 4 Sb 2.69
Sb (0.0000, 0.5000, 0.0000) [2 per cell]  2 Ta 2.69
Te (0.0000, 0.0000, 0.5000) [1 per cell]  2 Ta 2.64
Au (0.5000, 0.5000, 0.5000) [1 per cell]  8 Sb 3.76, 4 Te 3.80